Material: Zn2In2As
Method: DFT, PBE
State: relaxed

Summary:
* magnetization: 0.00 μB/f.u.
* formation energy from the elements: 0.1531 eV/atom
* distance to the lowest polymorph of the same formula: 1.85 kcal/mol of atoms
* total energy: -23.8 eV per cell

The structure in CIF format:
```
data_Zn2In2As
_chemical_formula_sum 'Zn4 In4 As2'
_space_group_name_H-M_alt 'I 4/m m m'
_space_group_IT_number 139
_space_group_name_Hall '-I 4 2'
_cell_length_a 3.698
_cell_length_b 3.698
_cell_length_c 16.184
_cell_angle_alpha 90.00
_cell_angle_beta 90.00
_cell_angle_gamma 90.00
loop_
_atom_site_label
_atom_site_fract_x
_atom_site_fract_y
_atom_site_fract_z
_atom_site_occupancy
Zn1 0.000 0.500 0.250 1
In1 0.000 0.000 0.098 1
As1 0.000 0.000 0.500 1
```

***

Material: GdErN
Method: DFT, PBE
State: relaxed

Summary:
* magnetization: 7.53 μB/f.u.
* formation energy (no corrections): -0.451 eV/atom
* distance to the lowest polymorph of the same formula: 13.65 kcal/mol of atoms
* total energy: -56.6 eV per cell

The structure in CIF format:
```
data_GdErN
_chemical_formula_sum 'Gd2 Er2 N2'
_space_group_name_H-M_alt 'I 4 m m'
_space_group_IT_number 107
_space_group_name_Hall 'I 4 -2'
_cell_length_a 3.109
_cell_length_b 3.109
_cell_length_c 12.094
_cell_angle_alpha 90.00
_cell_angle_beta 90.00
_cell_angle_gamma 90.00
loop_
_atom_site_label
_atom_site_fract_x
_atom_site_fract_y
_atom_site_fract_z
_atom_site_occupancy
Gd1 0.000 0.000 0.000 1
Er1 0.000 0.000 0.237 1
N1 0.000 0.000 0.649 1
```

***

Material: Mg8Cd2Ga3
Method: DFT, PBE
State: relaxed

Summary:
* magnetization: 0.00 μB/f.u.
* formation energy from the elements: -0.0711 eV/atom
* total energy: -24.6 eV per cell

The structure in CIF format:
```
data_Mg8Cd2Ga3
_chemical_formula_sum 'Mg8 Cd2 Ga3'
_space_group_name_H-M_alt 'P -1'
_space_group_IT_number 2
_space_group_name_Hall '-P 1'
_cell_length_a 4.971
_cell_length_b 7.270
_cell_length_c 8.204
_cell_angle_alpha 81.16
_cell_angle_beta 88.84
_cell_angle_gamma 72.28
loop_
_atom_site_label
_atom_site_fract_x
_atom_site_fract_y
_atom_site_fract_z
_atom_site_occupancy
Mg1 0.053 0.379 0.336 1
Mg2 0.181 0.130 0.033 1
Mg3 0.287 0.927 0.420 1
Mg4 0.424 0.642 0.151 1
Cd1 0.361 0.796 0.795 1
Ga1 0.144 0.214 0.685 1
Ga2 0.500 0.500 0.500 1
```

***

Material: CsTeO2
Method: DFT, PBE
State: relaxed

Summary:
* magnetization: 0.00 μB/f.u.
* formation energy (no corrections): -0.839 eV/atom
* total energy: -69.1 eV per cell

The structure in CIF format:
```
data_CsTeO2
_chemical_formula_sum 'Cs4 Te4 O8'
_space_group_name_H-M_alt 'I -4 2 d'
_space_group_IT_number 122
_space_group_name_Hall 'I -4 2bw'
_cell_length_a 5.838
_cell_length_b 5.838
_cell_length_c 12.084
_cell_angle_alpha 90.00
_cell_angle_beta 90.00
_cell_angle_gamma 90.00
loop_
_atom_site_label
_atom_site_fract_x
_atom_site_fract_y
_atom_site_fract_z
_atom_site_occupancy
Cs1 0.000 0.000 0.000 1
Te1 0.000 0.000 0.500 1
O1 0.100 0.250 0.625 1
```

***

Material: BeIn2I8
Method: DFT, PBE
State: relaxed

Summary:
* magnetization: 0.00 μB/f.u.
* formation energy (no corrections): -0.395 eV/atom
* total energy: -51.9 eV per cell

The structure in CIF format:
```
data_BeIn2I8
_chemical_formula_sum 'Be2 In4 I16'
_space_group_name_H-M_alt 'C 1 2/m 1'
_space_group_IT_number 12
_space_group_name_Hall '-C 2y'
_cell_length_a 15.335
_cell_length_b 8.322
_cell_length_c 10.201
_cell_angle_alpha 90.00
_cell_angle_beta 106.07
_cell_angle_gamma 90.00
loop_
_atom_site_label
_atom_site_fract_x
_atom_site_fract_y
_atom_site_fract_z
_atom_site_occupancy
Be1 0.000 0.000 0.000 1
In1 0.218 0.000 0.312 1
I1 0.101 0.224 0.135 1
I2 0.113 0.500 0.718 1
I3 0.189 0.000 0.561 1
```

***

Material: RePb2Cl
Method: DFT, PBE
State: relaxed

Summary:
* magnetization: 0.00 μB/f.u.
* formation energy (no corrections): 0.455 eV/atom
* distance to the lowest polymorph of the same formula: 0.21 kcal/mol of atoms
* total energy: -19.9 eV per cell

The structure in CIF format:
```
data_RePb2Cl
_chemical_formula_sum 'Re1 Pb2 Cl1'
_space_group_name_H-M_alt 'P 1 2/m 1'
_space_group_IT_number 10
_space_group_name_Hall '-P 2y'
_cell_length_a 3.413
_cell_length_b 3.425
_cell_length_c 8.251
_cell_angle_alpha 90.00
_cell_angle_beta 90.36
_cell_angle_gamma 90.00
loop_
_atom_site_label
_atom_site_fract_x
_atom_site_fract_y
_atom_site_fract_z
_atom_site_occupancy
Re1 0.000 0.000 0.000 1
Pb1 0.497 0.500 0.795 1
Cl1 0.500 0.000 0.500 1
```

***

Material: KSiSb
Method: DFT, PBE
State: relaxed

Summary:
* magnetization: 0.00 μB/f.u.
* formation energy (no corrections): 0.021 eV/atom
* total energy: -21.2 eV per cell

The structure in CIF format:
```
data_KSiSb
_chemical_formula_sum 'K2 Si2 Sb2'
_space_group_name_H-M_alt 'I 4 m m'
_space_group_IT_number 107
_space_group_name_Hall 'I 4 -2'
_cell_length_a 3.667
_cell_length_b 3.667
_cell_length_c 12.549
_cell_angle_alpha 90.00
_cell_angle_beta 90.00
_cell_angle_gamma 90.00
loop_
_atom_site_label
_atom_site_fract_x
_atom_site_fract_y
_atom_site_fract_z
_atom_site_occupancy
K1 0.000 0.000 0.000 1
Si1 0.000 0.000 0.303 1
Sb1 0.000 0.000 0.712 1
```

***

Material: TmLu5
Method: DFT, PBE
State: relaxed

Summary:
* magnetization: 0.00 μB/f.u.
* formation energy from the elements: 0.1224 eV/atom
* total energy: -52.7 eV per cell

The structure in CIF format:
```
data_TmLu5
_chemical_formula_sum 'Tm2 Lu10'
_space_group_name_H-M_alt 'C m m m'
_space_group_IT_number 65
_space_group_name_Hall '-C 2 2'
_cell_length_a 5.579
_cell_length_b 17.392
_cell_length_c 3.674
_cell_angle_alpha 90.00
_cell_angle_beta 90.00
_cell_angle_gamma 90.00
loop_
_atom_site_label
_atom_site_fract_x
_atom_site_fract_y
_atom_site_fract_z
_atom_site_occupancy
Tm1 0.000 0.000 0.000 1
Lu1 0.000 0.181 0.500 1
Lu2 0.000 0.346 0.000 1
Lu3 0.000 0.500 0.500 1
```

***

Material: Th8Os5Pd
Method: DFT, PBE
State: relaxed

Summary:
* magnetization: 0.00 μB/f.u.
* formation energy from the elements: -0.3679 eV/atom
* total energy: -251.7 eV per cell

The structure in CIF format:
```
data_Th8Os5Pd
_chemical_formula_sum 'Th16 Os10 Pd2'
_space_group_name_H-M_alt 'I -4'
_space_group_IT_number 82
_space_group_name_Hall 'I -4'
_cell_length_a 8.969
_cell_length_b 8.969
_cell_length_c 8.762
_cell_angle_alpha 90.00
_cell_angle_beta 90.00
_cell_angle_gamma 90.00
loop_
_atom_site_label
_atom_site_fract_x
_atom_site_fract_y
_atom_site_fract_z
_atom_site_occupancy
Th1 0.057 0.183 0.317 1
Th2 0.063 0.305 0.927 1
Os1 0.000 0.000 0.000 1
Os2 0.137 0.251 0.619 1
Pd1 0.000 0.500 0.250 1
```

***

Material: In2BrCl
Method: DFT, PBE
State: relaxed

Summary:
* magnetization: 0.00 μB/f.u.
* formation energy (no corrections): -0.445 eV/atom
* distance to the lowest polymorph of the same formula: 6.65 kcal/mol of atoms
* total energy: -43.1 eV per cell

The structure in CIF format:
```
data_In2BrCl
_chemical_formula_sum 'In8 Br4 Cl4'
_space_group_name_H-M_alt 'F -4 3 m'
_space_group_IT_number 216
_space_group_name_Hall 'F -4 2 3'
_cell_length_a 7.710
_cell_length_b 7.710
_cell_length_c 7.710
_cell_angle_alpha 90.00
_cell_angle_beta 90.00
_cell_angle_gamma 90.00
loop_
_atom_site_label
_atom_site_fract_x
_atom_site_fract_y
_atom_site_fract_z
_atom_site_occupancy
In1 0.000 0.000 0.000 1
In2 0.250 0.250 0.250 1
Br1 0.250 0.250 0.750 1
Cl1 0.000 0.000 0.500 1
```

***

Material: AcZrGa2Pd4
Method: DFT, PBE
State: relaxed

Summary:
* magnetization: 0.00 μB/f.u.
* formation energy from the elements: -0.5374 eV/atom
* total energy: -43.8 eV per cell

The structure in CIF format:
```
data_AcZrGa2Pd4
_chemical_formula_sum 'Ac1 Zr1 Ga2 Pd4'
_space_group_name_H-M_alt 'P 4/m m m'
_space_group_IT_number 123
_space_group_name_Hall '-P 4 2'
_cell_length_a 4.057
_cell_length_b 4.057
_cell_length_c 9.855
_cell_angle_alpha 90.00
_cell_angle_beta 90.00
_cell_angle_gamma 90.00
loop_
_atom_site_label
_atom_site_fract_x
_atom_site_fract_y
_atom_site_fract_z
_atom_site_occupancy
Ac1 0.000 0.000 0.000 1
Zr1 0.000 0.000 0.500 1
Ga1 0.500 0.500 0.380 1
Pd1 0.000 0.500 0.234 1
```

***

Material: Tb2PaPd2S6
Method: DFT, PBE
State: relaxed

Summary:
* magnetization: 0.00 μB/f.u.
* formation energy (no corrections): -1.320 eV/atom
* total energy: -68.4 eV per cell

The structure in CIF format:
```
data_Tb2PaPd2S6
_chemical_formula_sum 'Tb2 Pa1 Pd2 S6'
_space_group_name_H-M_alt 'P -3 1 m'
_space_group_IT_number 162
_space_group_name_Hall '-P 3 2'
_cell_length_a 6.6037
_cell_length_b 6.6037
_cell_length_c 6.3462
_cell_angle_alpha 90.00
_cell_angle_beta 90.00
_cell_angle_gamma 120.00
loop_
_atom_site_label
_atom_site_fract_x
_atom_site_fract_y
_atom_site_fract_z
_atom_site_occupancy
Tb1 0.3333 0.6667 0.0000 1
Pa1 0.0000 0.0000 0.5000 1
Pd1 0.3333 0.6667 0.5000 1
S1 0.0000 0.3330 0.7424 1
```

***

magnetization of number 11 (AcZrGa2Pd4)?
0.00 μB/f.u.

***

Number 7 is which compound?
KSiSb

***

The highest magnetization belongs to which entry?
GdErN

***

Look up the magnetization of the ninth one.
0.00 μB/f.u.